# Pm7NdY2 PBE relaxed
# **Crystal system**: orthorhombic
# **Calculated volume**: 726.7 Å³ per cell
# **ΔE to the lowest computed polymorph**: 0.000 eV per atom
# **D(E_F)**: 1.659 states/eV/atom
# **Formation energy**: 0.393 eV/atom
# **E**: -47.02 eV/f.u.
data_Pm7NdY2
_cell_length_a 12.110
_cell_length_b 17.072
_cell_length_c 3.515
_cell_angle_alpha 90.00
_cell_angle_beta 90.00
_cell_angle_gamma 90.00
_space_group_name_H-M_alt 'C m m m'
_space_group_IT_number 65
_space_group_name_Hall '-C 2 2'
loop_
_atom_site_label
_atom_site_fract_x
_atom_site_fract_y
_atom_site_fract_z
_atom_site_occupancy
Pm1 0.000 0.000 0.000 1
Pm2 0.000 0.175 0.500 1
Pm3 0.243 0.131 0.000 1
Nd1 0.000 0.500 0.500 1
Y1 0.000 0.330 0.000 1